(1)
An optimized crystal structure of YAg3, computed with GGA-PBE.

Lattice parameters (Å, degrees): 6.290 5.031 5.227 90.00 90.00 90.00
Fractional coordinates of all 8 atoms:
Ag 0.000 0.500 0.315
Ag 0.256 0.000 0.161
Ag 0.244 0.500 0.839
Ag 0.500 0.000 0.685
Ag 0.744 0.000 0.161
Ag 0.756 0.500 0.839
Y 0.000 0.000 0.654
Y 0.500 0.500 0.346

Properties
Magnetic moment in Bohr magnetons per cell: 0.00


(2)
An optimized crystal structure of Li2PrZn, computed with GGA-PBE.

Lattice parameters (Å, degrees): 3.241 3.241 10.658 81.25 81.25 60.00
Last column: magnetic moment on the atom in μB.
Fractional coordinates of all 4 atoms:
Pr 0.000 0.000 0.000  0.08
Zn 0.500 0.500 0.500  0.00
Li 0.101 0.101 0.697  0.00
Li 0.899 0.899 0.303  0.00

Properties
Magnetic moment in Bohr magnetons per cell: 0.14


(3)
An optimized crystal structure of LiYThNb, computed with GGA-PBE.

Lattice parameters (Å, degrees): 5.144 5.144 5.144 60.00 60.00 60.00
Fractional coordinates of all 4 atoms:
Y 0.000 0.000 0.000
Nb 0.250 0.250 0.250
Th 0.500 0.500 0.500
Li 0.750 0.750 0.750

Properties
Magnetic moment in Bohr magnetons per cell: 0.01


| no. | DOS at the Fermi energy (states/eV/cell) | electronic total energy (eV per cell) | calculated formation energy (eV per atom) |
| --- | --- | --- | --- |
| 1 | 3.083 | -32.09 | -0.26 |
| 2 | 2.837 | -9.21 | 0.17 |
| 3 | 7.706 | -24.96 | 0.23 |